[1]
Below is a relaxed structure of Li3Pr2Mg3, with properties calculated at the PBE level.

abc: 8.986 8.986 8.986
angles: 33.42 33.42 33.42
Fractional positions:
Li (0.000, 0.000, 0.000)
Li (0.247, 0.247, 0.247)
Li (0.750, 0.750, 0.750)
Pr (0.372, 0.372, 0.372)
Pr (0.875, 0.875, 0.875)
Mg (0.123, 0.123, 0.123)
Mg (0.498, 0.498, 0.498)
Mg (0.624, 0.624, 0.624)

Formation energy from the elements in eV/atom: -0.03
Space-group type: R3m
Magnetic moment in μB per cell: 0.00

***

[2]
Below is a relaxed structure of Dy3Ge5S12, with properties calculated at the PBE level.

abc: 13.255 13.255 13.255
angles: 109.47 109.47 109.47
Fractional positions:
Dy (0.125, 0.250, 0.375)
Dy (0.125, 0.375, 0.750)
Dy (0.250, 0.375, 0.125)
Dy (0.250, 0.875, 0.625)
Dy (0.375, 0.125, 0.250)
Dy (0.375, 0.750, 0.125)
Dy (0.625, 0.250, 0.875)
Dy (0.625, 0.875, 0.750)
Dy (0.750, 0.125, 0.375)
Dy (0.750, 0.625, 0.875)
Dy (0.875, 0.625, 0.250)
Dy (0.875, 0.750, 0.625)
Ge (0.000, 0.000, 0.000)
Ge (0.000, 0.000, 0.500)
Ge (0.000, 0.500, 0.000)
Ge (0.000, 0.500, 0.500)
Ge (0.125, 0.750, 0.875)
Ge (0.125, 0.875, 0.250)
Ge (0.250, 0.125, 0.875)
Ge (0.250, 0.625, 0.375)
Ge (0.375, 0.250, 0.625)
Ge (0.375, 0.625, 0.750)
Ge (0.500, 0.000, 0.000)
Ge (0.500, 0.000, 0.500)
Ge (0.500, 0.500, 0.000)
Ge (0.500, 0.500, 0.500)
Ge (0.625, 0.375, 0.250)
Ge (0.625, 0.750, 0.375)
Ge (0.750, 0.375, 0.625)
Ge (0.750, 0.875, 0.125)
Ge (0.875, 0.125, 0.750)
Ge (0.875, 0.250, 0.125)
S (0.036, 0.219, 0.130)
S (0.036, 0.317, 0.905)
S (0.089, 0.719, 0.683)
S (0.089, 0.870, 0.405)
S (0.095, 0.630, 0.411)
S (0.095, 0.964, 0.683)
S (0.130, 0.036, 0.219)
S (0.130, 0.595, 0.911)
S (0.183, 0.219, 0.589)
S (0.183, 0.464, 0.595)
S (0.219, 0.130, 0.036)
S (0.219, 0.589, 0.183)
S (0.281, 0.317, 0.911)
S (0.281, 0.464, 0.370)
S (0.317, 0.905, 0.036)
S (0.317, 0.911, 0.281)
S (0.370, 0.281, 0.464)
S (0.370, 0.589, 0.905)
S (0.405, 0.089, 0.870)
S (0.405, 0.817, 0.536)
S (0.411, 0.095, 0.630)
S (0.411, 0.817, 0.781)
S (0.464, 0.370, 0.281)
S (0.464, 0.595, 0.183)
S (0.536, 0.405, 0.817)
S (0.536, 0.630, 0.719)
S (0.589, 0.183, 0.219)
S (0.589, 0.905, 0.370)
S (0.595, 0.183, 0.464)
S (0.595, 0.911, 0.130)
S (0.630, 0.411, 0.095)
S (0.630, 0.719, 0.536)
S (0.683, 0.089, 0.719)
S (0.683, 0.095, 0.964)
S (0.719, 0.536, 0.630)
S (0.719, 0.683, 0.089)
S (0.781, 0.411, 0.817)
S (0.781, 0.870, 0.964)
S (0.817, 0.536, 0.405)
S (0.817, 0.781, 0.411)
S (0.870, 0.405, 0.089)
S (0.870, 0.964, 0.781)
S (0.905, 0.036, 0.317)
S (0.905, 0.370, 0.589)
S (0.911, 0.130, 0.595)
S (0.911, 0.281, 0.317)
S (0.964, 0.683, 0.095)
S (0.964, 0.781, 0.870)

Calculated total energy in eV/atom: -5.207
Space-group type: Ia-3d
Magnetic moment in μB per cell: 0.00

***

[3]
Below is a relaxed structure of ZrCuPO2, with properties calculated at the PBE level.

abc: 3.837 3.837 4.426
angles: 90.00 90.00 90.00
Fractional positions:
Zr (0.000, 0.000, 0.000)
Cu (0.500, 0.500, 0.500)
P (0.500, 0.500, 0.000)
O (0.000, 0.500, 0.500)
O (0.500, 0.000, 0.500)

Energy above the lowest structure with this stoichiometry in eV/atom: 0.408
Space-group type: P4/mmm
Magnetic moment in μB per cell: 0.00

***

[4]
Below is a relaxed structure of Tl2IrW, with properties calculated at the PBE level.

abc: 3.055 3.055 9.067
angles: 90.00 90.00 90.00
Fractional positions:
Tl (0.000, 0.000, 0.000)
Tl (0.500, 0.500, 0.327)
Ir (0.500, 0.500, 0.743)
W (0.000, 0.000, 0.580)

Formation energy from the elements in eV/atom: 0.40
Energy above the lowest structure with this stoichiometry in eV/atom: 0.023
Space-group type: P4mm
Magnetic moment in μB per cell: 0.00

***

[5]
Below is a relaxed structure of Mn2CdBr, with properties calculated at the PBE level.

abc: 3.932 3.932 10.625
angles: 90.00 90.00 90.00
Fractional positions:
Mn (0.000, 0.000, 0.000)
Mn (0.000, 0.500, 0.250)
Mn (0.500, 0.000, 0.750)
Mn (0.500, 0.500, 0.500)
Cd (0.000, 0.000, 0.500)
Cd (0.500, 0.500, 0.000)
Br (0.000, 0.500, 0.750)
Br (0.500, 0.000, 0.250)

Energy above the lowest structure with this stoichiometry in eV/atom: 0.297
Space-group type: I-4m2
Magnetic moment in μB per cell: 16.81

***

[6]
Below is a relaxed structure of K2SrSbSe4, with properties calculated at the PBE level.

abc: 8.921 8.921 8.921
angles: 122.17 117.78 90.09
Fractional positions:
K (0.000, 0.000, 0.000)
K (0.500, 0.000, 0.000)
K (0.500, 0.000, 0.500)
K (0.500, 0.500, 0.500)
Sr (0.000, 0.500, 0.500)
Sr (0.500, 0.500, 0.000)
Sb (0.000, 0.000, 0.500)
Sb (0.000, 0.500, 0.000)
Se (0.207, 0.746, 0.460)
Se (0.214, 0.254, 0.960)
Se (0.223, 0.234, 0.510)
Se (0.223, 0.713, 0.990)
Se (0.777, 0.287, 0.010)
Se (0.777, 0.766, 0.490)
Se (0.786, 0.746, 0.040)
Se (0.793, 0.254, 0.540)

Calculated total energy in eV/atom: -3.763
Space-group type: Imma
Magnetic moment in μB per cell: 0.00

***

[7]
Below is a relaxed structure of HfTi5Ir6, with properties calculated at the PBE level.

abc: 7.453 7.453 7.453
angles: 146.90 123.83 66.77
Fractional positions:
Hf (0.000, 0.000, 0.000)
Ti (0.156, 0.656, 0.500)
Ti (0.319, 0.319, 0.000)
Ti (0.500, 0.000, 0.500)
Ti (0.681, 0.681, 0.000)
Ti (0.844, 0.344, 0.500)
Ir (0.101, 0.832, 0.269)
Ir (0.280, 0.500, 0.780)
Ir (0.437, 0.168, 0.269)
Ir (0.563, 0.832, 0.731)
Ir (0.720, 0.500, 0.220)
Ir (0.899, 0.168, 0.731)

Formation energy from the elements in eV/atom: -0.87
Space-group type: Immm
Magnetic moment in μB per cell: 0.00

***

[8]
Below is a relaxed structure of Co2RhS, with properties calculated at the PBE level.

abc: 4.605 4.605 11.869
angles: 90.00 90.00 90.00
Fractional positions:
Co (0.195, 0.250, 0.125)
Co (0.250, 0.695, 0.375)
Co (0.250, 0.805, 0.875)
Co (0.305, 0.250, 0.625)
Co (0.695, 0.750, 0.625)
Co (0.750, 0.195, 0.875)
Co (0.750, 0.305, 0.375)
Co (0.805, 0.750, 0.125)
Rh (0.000, 0.000, 0.500)
Rh (0.000, 0.500, 0.750)
Rh (0.500, 0.000, 0.250)
Rh (0.500, 0.500, 0.000)
S (0.000, 0.000, 0.000)
S (0.000, 0.500, 0.250)
S (0.500, 0.000, 0.750)
S (0.500, 0.500, 0.500)

Calculated total energy in eV/atom: -5.975
Space-group type: I-42d
Magnetic moment in μB per cell: 0.00

***

[9]
Below is a relaxed structure of TlInBi3, with properties calculated at the PBE level.

abc: 9.506 9.506 6.698
angles: 110.22 110.22 34.65
Fractional positions:
Tl (0.000, 0.000, 0.248)
Tl (0.000, 0.000, 0.752)
In (0.405, 0.405, 0.922)
In (0.595, 0.595, 0.078)
Bi (0.195, 0.195, 0.193)
Bi (0.199, 0.199, 0.712)
Bi (0.404, 0.404, 0.423)
Bi (0.596, 0.596, 0.577)
Bi (0.801, 0.801, 0.288)
Bi (0.805, 0.805, 0.807)

Formation energy from the elements in eV/atom: 0.02
Energy above the lowest structure with this stoichiometry in eV/atom: 0.000
Space-group type: C2/m
Magnetic moment in μB per cell: 0.00

***

[10]
Below is a relaxed structure of SiTc2P, with properties calculated at the PBE level.

abc: 6.067 6.067 6.067
angles: 90.00 90.00 90.00
Fractional positions:
Si (0.000, 0.000, 0.000)
Si (0.000, 0.500, 0.500)
Si (0.500, 0.000, 0.500)
Si (0.500, 0.500, 0.000)
Tc (0.000, 0.000, 0.500)
Tc (0.000, 0.500, 0.000)
Tc (0.250, 0.250, 0.250)
Tc (0.250, 0.750, 0.750)
Tc (0.500, 0.000, 0.000)
Tc (0.500, 0.500, 0.500)
Tc (0.750, 0.250, 0.750)
Tc (0.750, 0.750, 0.250)
P (0.250, 0.250, 0.750)
P (0.250, 0.750, 0.250)
P (0.750, 0.250, 0.250)
P (0.750, 0.750, 0.750)

Energy above the lowest structure with this stoichiometry in eV/atom: 0.685
Space-group type: F-43m
Magnetic moment in μB per cell: 0.00

***

[11]
Below is a relaxed structure of NaTmC2O6, with properties calculated at the PBE level.

abc: 6.234 6.234 6.885
angles: 100.15 100.15 105.84
Fractional positions:
Na (0.100, 0.900, 0.750)
Na (0.900, 0.100, 0.250)
Tm (0.422, 0.578, 0.250)
Tm (0.578, 0.422, 0.750)
C (0.124, 0.415, 0.758)
C (0.415, 0.124, 0.258)
C (0.585, 0.876, 0.742)
C (0.876, 0.585, 0.242)
O (0.056, 0.524, 0.254)
O (0.149, 0.253, 0.627)
O (0.253, 0.149, 0.127)
O (0.305, 0.528, 0.909)
O (0.472, 0.695, 0.591)
O (0.476, 0.944, 0.246)
O (0.524, 0.056, 0.754)
O (0.528, 0.305, 0.409)
O (0.695, 0.472, 0.091)
O (0.747, 0.851, 0.873)
O (0.851, 0.747, 0.373)
O (0.944, 0.476, 0.746)

Calculated total energy in eV/atom: -7.527
Space-group type: C2/c
Magnetic moment in μB per cell: 0.00

***

[12]
Below is a relaxed structure of TaZnHg2, with properties calculated at the PBE level.

abc: 2.981 4.353 6.079
angles: 90.00 103.73 90.00
Fractional positions:
Ta (0.000, 0.000, 0.000)
Zn (0.592, 0.500, 0.188)
Hg (0.368, 0.500, 0.733)
Hg (0.731, 0.000, 0.466)

Formation energy from the elements in eV/atom: 0.35
Space-group type: Pm
Magnetic moment in μB per cell: 0.00

***

[13]
Below is a relaxed structure of Ta2Te2Ir, with properties calculated at the PBE level.

abc: 3.798 3.798 15.659
angles: 90.00 90.00 90.00
Fractional positions:
Ta (0.000, 0.500, 0.250)
Ta (0.000, 0.500, 0.750)
Ta (0.500, 0.000, 0.250)
Ta (0.500, 0.000, 0.750)
Te (0.000, 0.000, 0.108)
Te (0.000, 0.000, 0.892)
Te (0.500, 0.500, 0.392)
Te (0.500, 0.500, 0.608)
Ir (0.000, 0.000, 0.500)
Ir (0.500, 0.500, 0.000)

Energy above the lowest structure with this stoichiometry in eV/atom: 0.310
Space-group type: I4/mmm
Magnetic moment in μB per cell: 3.83

***

[14]
Below is a relaxed structure of Nd2Tl3GeSe6, with properties calculated at the PBE level.

abc: 9.994 9.994 9.004
angles: 107.37 107.37 24.54
Fractional positions:
Nd (0.163, 0.163, 0.332)
Nd (0.837, 0.837, 0.668)
Tl (0.169, 0.169, 0.842)
Tl (0.500, 0.500, 0.500)
Tl (0.831, 0.831, 0.158)
Ge (0.500, 0.500, 0.000)
Se (0.004, 0.004, 0.216)
Se (0.324, 0.324, 0.432)
Se (0.349, 0.349, 0.902)
Se (0.651, 0.651, 0.098)
Se (0.676, 0.676, 0.568)
Se (0.996, 0.996, 0.784)

Calculated total energy in eV/atom: -4.481
Space-group type: C2/m
Magnetic moment in μB per cell: 0.00

***

[15]
Below is a relaxed structure of Dy4Os, with properties calculated at the PBE level.

abc: 5.420 5.420 5.420
angles: 90.00 90.00 90.00
Fractional positions:
Dy (0.000, 0.000, 0.000)
Dy (0.000, 0.500, 0.500)
Dy (0.500, 0.000, 0.500)
Dy (0.500, 0.500, 0.000)
Os (0.500, 0.500, 0.500)

Formation energy from the elements in eV/atom: 0.04
Space-group type: Pm-3m
Magnetic moment in μB per cell: 0.00

***

[16]
Below is a relaxed structure of BaHg3C, with properties calculated at the PBE level.

abc: 6.863 6.863 6.863
angles: 90.00 90.00 90.00
Fractional positions:
Ba (0.000, 0.000, 0.000)
Hg (0.000, 0.000, 0.500)
Hg (0.000, 0.500, 0.000)
Hg (0.500, 0.000, 0.000)
C (0.500, 0.500, 0.500)

Formation energy from the elements in eV/atom: 1.49
Energy above the lowest structure with this stoichiometry in eV/atom: 0.875
Space-group type: Pm-3m
Magnetic moment in μB per cell: 3.04

***

[17]
Below is a relaxed structure of CePmRe, with properties calculated at the PBE level.

abc: 3.488 3.488 11.496
angles: 90.00 90.00 90.00
Fractional positions:
Ce (0.000, 0.000, 0.000)
Ce (0.500, 0.500, 0.500)
Pm (0.000, 0.000, 0.702)
Pm (0.500, 0.500, 0.202)
Re (0.000, 0.000, 0.367)
Re (0.500, 0.500, 0.867)

Formation energy from the elements in eV/atom: 0.20
Energy above the lowest structure with this stoichiometry in eV/atom: 0.022
Space-group type: I4mm
Magnetic moment in μB per cell: 0.00

***

[18]
Below is a relaxed structure of SrMn2Fe, with properties calculated at the PBE level.

abc: 5.812 9.791 2.899
angles: 90.00 117.09 90.00
Fractional positions:
Sr (0.000, 0.000, 0.000)
Sr (0.500, 0.500, 0.000)
Mn (0.250, 0.250, 0.500)
Mn (0.250, 0.750, 0.500)
Mn (0.750, 0.250, 0.500)
Mn (0.750, 0.750, 0.500)
Fe (0.000, 0.500, 0.000)
Fe (0.500, 0.000, 0.000)

Formation energy from the elements in eV/atom: 0.96
Space-group type: C2/m
Magnetic moment in μB per cell: 19.03

***

[19]
Below is a relaxed structure of Ca3Ac4Ru2, with properties calculated at the PBE level.

abc: 10.180 10.180 9.904
angles: 117.60 117.60 23.59
Fractional positions:
Ca (0.000, 0.000, 0.000)
Ca (0.355, 0.355, 0.174)
Ca (0.645, 0.645, 0.826)
Ac (0.072, 0.072, 0.428)
Ac (0.293, 0.293, 0.703)
Ac (0.707, 0.707, 0.297)
Ac (0.928, 0.928, 0.572)
Ru (0.325, 0.325, 0.429)
Ru (0.675, 0.675, 0.571)

Formation energy from the elements in eV/atom: -0.03
Energy above the lowest structure with this stoichiometry in eV/atom: 0.000
Space-group type: C2/m
Magnetic moment in μB per cell: 0.00

***

[20]
Below is a relaxed structure of Eu2HIr, with properties calculated at the PBE level.

abc: 4.056 4.056 18.666
angles: 90.00 90.00 120.00
Fractional positions:
Eu (0.000, 0.000, 0.246)
Eu (0.000, 0.000, 0.754)
Eu (0.333, 0.667, 0.421)
Eu (0.333, 0.667, 0.913)
Eu (0.667, 0.333, 0.087)
Eu (0.667, 0.333, 0.579)
H (0.000, 0.000, 0.500)
H (0.333, 0.667, 0.167)
H (0.667, 0.333, 0.833)
Ir (0.000, 0.000, 0.000)
Ir (0.333, 0.667, 0.667)
Ir (0.667, 0.333, 0.333)

Energy above the lowest structure with this stoichiometry in eV/atom: 0.002
Space-group type: R-3m
Magnetic moment in μB per cell: 41.33

***

[21]
Below is a relaxed structure of CsSmTmTe3, with properties calculated at the PBE level.

abc: 9.703 5.031 11.346
angles: 90.00 114.12 90.00
Fractional positions:
Cs (0.014, 0.250, 0.246)
Cs (0.986, 0.750, 0.754)
Sm (0.458, 0.250, 0.116)
Sm (0.542, 0.750, 0.884)
Tm (0.495, 0.250, 0.636)
Tm (0.505, 0.750, 0.364)
Te (0.238, 0.750, 0.122)
Te (0.322, 0.250, 0.817)
Te (0.331, 0.750, 0.537)
Te (0.669, 0.250, 0.463)
Te (0.678, 0.750, 0.183)
Te (0.762, 0.250, 0.878)

Calculated total energy in eV/atom: -4.496
Space-group type: P2_1/m
Magnetic moment in μB per cell: 0.00